This record from Alexandria describes an optimized crystal structure of TcSb2Br. The functional is PBE.

Lattice parameters (Å, degrees): 5.028 5.028 5.028 60.00 60.00 60.00
Last column: magnetic moment on the atom in μB.
Element x y z (fractional)
Tc (0.500, 0.500, 0.500)  1.87
Sb (0.750, 0.750, 0.750)  -0.06
Sb (0.250, 0.250, 0.250)  -0.06
Br (0.000, 0.000, 0.000)  0.05

Results
Formation energy (no corrections): 679 meV/atom
Theoretical density: 7.788 g/cm³
E: -4.39 eV/atom
DOS(E_F): 0.536 states/eV per atom
Space-group type: No. 225